Entry 1:
LiB2SbO5 after structural relaxation, computed with GGA-PBE.

Calculated values
**Formation energy (no corrections)**: -2.046 eV per atom
**Space group**: C2/c
**Crystal system**: monoclinic

Cell lengths 7.303, 7.303, 9.974 Å; angles 74.54, 74.54, 102.72 degrees
Sites, in units of the cell vectors:
Li 0.896 0.104 0.250
Li 0.337 0.663 0.250
Li 0.663 0.337 0.750
Li 0.104 0.896 0.750
B 0.800 0.718 0.411
B 0.788 0.355 0.479
B 0.718 0.800 0.911
B 0.355 0.788 0.979
B 0.645 0.212 0.021
B 0.282 0.200 0.089
B 0.212 0.645 0.521
B 0.200 0.282 0.589
Sb 0.897 0.587 0.138
Sb 0.587 0.897 0.638
Sb 0.413 0.103 0.362
Sb 0.103 0.413 0.862
O 0.808 0.882 0.451
O 0.812 0.744 0.265
O 0.882 0.808 0.951
O 0.868 0.352 0.342
O 0.290 0.811 0.390
O 0.744 0.812 0.765
O 0.529 0.769 0.014
O 0.231 0.471 0.486
O 0.352 0.868 0.842
O 0.811 0.290 0.890
O 0.189 0.710 0.110
O 0.648 0.132 0.158
O 0.769 0.529 0.514
O 0.471 0.231 0.986
O 0.256 0.188 0.235
O 0.710 0.189 0.610
O 0.132 0.648 0.658
O 0.118 0.192 0.049
O 0.188 0.256 0.735
O 0.192 0.118 0.549

Entry 2:
LiB2SbO6 after structural relaxation, computed with GGA-PBE.

Calculated values
**Formation energy (no corrections)**: -1.987 eV per atom
**Space group**: P2_1/c
**Crystal system**: monoclinic

Cell lengths 9.139, 5.119, 11.169 Å; angles 73.95, 90.00, 90.00 degrees
Sites, in units of the cell vectors:
Li 0.956 0.948 0.886
Li 0.456 0.052 0.614
Li 0.544 0.948 0.386
Li 0.044 0.052 0.114
B 0.304 0.458 0.394
B 0.625 0.992 0.861
B 0.804 0.542 0.106
B 0.125 0.008 0.639
B 0.875 0.992 0.361
B 0.196 0.458 0.894
B 0.375 0.008 0.139
B 0.696 0.542 0.606
Sb 0.296 0.022 0.872
Sb 0.796 0.978 0.628
Sb 0.204 0.022 0.372
Sb 0.704 0.978 0.128
O 0.365 0.886 0.044
O 0.653 0.294 0.595
O 0.888 0.782 0.076
O 0.992 0.048 0.691
O 0.166 0.417 0.351
O 0.252 0.079 0.690
O 0.666 0.583 0.149
O 0.752 0.921 0.810
O 0.492 0.952 0.809
O 0.388 0.218 0.424
O 0.865 0.114 0.456
O 0.153 0.706 0.905
O 0.847 0.294 0.095
O 0.135 0.886 0.544
O 0.612 0.782 0.576
O 0.508 0.048 0.191
O 0.248 0.079 0.190
O 0.334 0.417 0.851
O 0.748 0.921 0.310
O 0.834 0.583 0.649
O 0.008 0.952 0.309
O 0.112 0.218 0.924
O 0.347 0.706 0.405
O 0.635 0.114 0.956

Entry 3:
Li6B3SbO9 after structural relaxation, computed with GGA-PBE.

Calculated values
**Formation energy (no corrections)**: -2.133 eV per atom
**Space group**: P2_1/c
**Crystal system**: monoclinic

Cell lengths 6.872, 7.145, 16.950 Å; angles 90.00, 90.00, 103.32 degrees
Sites, in units of the cell vectors:
Li 0.327 0.928 0.991
Li 0.397 0.860 0.549
Li 0.827 0.928 0.509
Li 0.062 0.701 0.461
Li 0.897 0.860 0.951
Li 0.359 0.715 0.708
Li 0.562 0.701 0.039
Li 0.087 0.574 0.297
Li 0.170 0.545 0.968
Li 0.859 0.715 0.792
Li 0.587 0.574 0.203
Li 0.670 0.545 0.532
Li 0.330 0.455 0.468
Li 0.413 0.426 0.797
Li 0.141 0.285 0.208
Li 0.830 0.455 0.032
Li 0.913 0.426 0.703
Li 0.438 0.299 0.961
Li 0.641 0.285 0.292
Li 0.103 0.140 0.049
Li 0.938 0.299 0.539
Li 0.173 0.072 0.491
Li 0.603 0.140 0.451
Li 0.673 0.072 0.009
B 0.375 0.920 0.362
B 0.875 0.920 0.138
B 0.502 0.704 0.882
B 0.178 0.561 0.107
B 0.002 0.704 0.618
B 0.678 0.561 0.393
B 0.322 0.439 0.607
B 0.998 0.296 0.382
B 0.822 0.439 0.893
B 0.498 0.296 0.118
B 0.125 0.080 0.862
B 0.625 0.080 0.638
Sb 0.334 0.914 0.182
Sb 0.834 0.914 0.318
Sb 0.166 0.086 0.682
Sb 0.666 0.086 0.818
O 0.426 0.993 0.662
O 0.057 0.857 0.565
O 0.330 0.920 0.440
O 0.234 0.853 0.305
O 0.926 0.993 0.838
O 0.557 0.857 0.935
O 0.052 0.736 0.698
O 0.830 0.920 0.060
O 0.734 0.853 0.195
O 0.270 0.721 0.062
O 0.552 0.736 0.802
O 0.770 0.721 0.438
O 0.192 0.585 0.189
O 0.421 0.605 0.571
O 0.100 0.475 0.406
O 0.400 0.525 0.906
O 0.692 0.585 0.311
O 0.079 0.395 0.071
O 0.921 0.605 0.929
O 0.308 0.415 0.689
O 0.600 0.475 0.094
O 0.900 0.525 0.594
O 0.579 0.395 0.429
O 0.808 0.415 0.811
O 0.230 0.279 0.562
O 0.448 0.264 0.198
O 0.730 0.279 0.938
O 0.266 0.147 0.805
O 0.170 0.080 0.940
O 0.948 0.264 0.302
O 0.443 0.143 0.065
O 0.074 0.007 0.162
O 0.766 0.147 0.695
O 0.670 0.080 0.560
O 0.943 0.143 0.435
O 0.574 0.007 0.338

Entry 4:
Li2B8SeO15 after structural relaxation, computed with GGA-PBE.

Calculated values
**Formation energy (no corrections)**: -2.236 eV per atom
**Space group**: P2_1/c
**Crystal system**: monoclinic

Cell lengths 8.598, 8.802, 16.534 Å; angles 90.00, 90.00, 95.25 degrees
Sites, in units of the cell vectors:
Li 0.506 0.860 0.357
Li 0.994 0.140 0.857
Li 0.494 0.140 0.643
Li 0.006 0.860 0.143
Li 0.866 0.384 0.499
Li 0.634 0.616 0.999
Li 0.134 0.616 0.501
Li 0.366 0.384 0.001
B 0.444 0.526 0.315
B 0.056 0.474 0.815
B 0.556 0.474 0.685
B 0.944 0.526 0.185
B 0.634 0.593 0.428
B 0.866 0.407 0.928
B 0.366 0.407 0.572
B 0.134 0.593 0.072
B 0.575 0.329 0.390
B 0.925 0.671 0.890
B 0.425 0.671 0.610
B 0.075 0.329 0.110
B 0.720 0.843 0.500
B 0.780 0.157 0.000
B 0.280 0.157 0.500
B 0.220 0.843 0.000
B 0.670 0.097 0.458
B 0.830 0.903 0.958
B 0.330 0.903 0.542
B 0.170 0.097 0.042
B 0.818 0.063 0.584
B 0.682 0.937 0.084
B 0.182 0.937 0.416
B 0.318 0.063 0.916
B 0.032 0.104 0.681
B 0.468 0.896 0.181
B 0.968 0.896 0.319
B 0.532 0.104 0.819
B 0.770 0.095 0.732
B 0.730 0.905 0.232
B 0.230 0.905 0.268
B 0.270 0.095 0.768
Se 0.105 0.439 0.327
Se 0.395 0.561 0.827
Se 0.895 0.561 0.673
Se 0.605 0.439 0.173
O 0.279 0.563 0.327
O 0.221 0.437 0.827
O 0.721 0.437 0.673
O 0.779 0.563 0.173
O 0.986 0.558 0.271
O 0.514 0.442 0.771
O 0.014 0.442 0.729
O 0.486 0.558 0.229
O 0.036 0.473 0.419
O 0.464 0.527 0.919
O 0.964 0.527 0.581
O 0.536 0.473 0.081
O 0.469 0.368 0.335
O 0.031 0.632 0.835
O 0.531 0.632 0.665
O 0.969 0.368 0.165
O 0.537 0.637 0.369
O 0.963 0.363 0.869
O 0.463 0.363 0.631
O 0.037 0.637 0.131
O 0.706 0.689 0.485
O 0.794 0.311 0.985
O 0.294 0.311 0.515
O 0.206 0.689 0.015
O 0.636 0.939 0.451
O 0.864 0.061 0.951
O 0.364 0.061 0.549
O 0.136 0.939 0.049
O 0.803 0.901 0.563
O 0.697 0.099 0.063
O 0.197 0.099 0.437
O 0.303 0.901 0.937
O 0.662 0.439 0.437
O 0.838 0.561 0.937
O 0.338 0.561 0.563
O 0.162 0.439 0.063
O 0.597 0.178 0.400
O 0.903 0.822 0.900
O 0.403 0.822 0.600
O 0.097 0.178 0.100
O 0.767 0.160 0.516
O 0.733 0.840 0.016
O 0.233 0.840 0.484
O 0.267 0.160 0.984
O 0.981 0.111 0.604
O 0.519 0.889 0.104
O 0.019 0.889 0.396
O 0.481 0.111 0.896
O 0.929 0.087 0.746
O 0.571 0.913 0.246
O 0.071 0.913 0.254
O 0.429 0.087 0.754
O 0.688 0.109 0.802
O 0.812 0.891 0.302
O 0.312 0.891 0.198
O 0.188 0.109 0.698
O 0.712 0.087 0.655
O 0.788 0.913 0.155
O 0.288 0.913 0.345
O 0.212 0.087 0.845

Entry 5:
Li2SiB2O6 after structural relaxation, computed with GGA-PBE.

Calculated values
**Formation energy (no corrections)**: -2.364 eV per atom
**Space group**: P-3
**Crystal system**: trigonal

Cell lengths 4.639, 4.639, 5.811 Å; angles 90.00, 90.00, 120.00 degrees
Sites, in units of the cell vectors:
Li 0.333 0.667 0.287
Li 0.667 0.333 0.713
Si 0.000 0.000 0.000
B 0.333 0.667 0.825
B 0.667 0.333 0.175
O 0.278 0.345 0.817
O 0.067 0.722 0.817
O 0.655 0.933 0.817
O 0.722 0.655 0.183
O 0.933 0.278 0.183
O 0.345 0.067 0.183

Entry 6:
Li2SiBO after structural relaxation, computed with GGA-PBE.

Calculated values
**Formation energy (no corrections)**: -0.074 eV per atom
**Space group**: P4/mmm
**Crystal system**: tetragonal

Cell lengths 5.022, 2.666, 5.022 Å; angles 90.00, 90.00, 90.00 degrees
Sites, in units of the cell vectors:
Si 0.500 0.500 0.500
B 0.000 0.000 0.000
O 0.000 0.500 0.000
Li 0.000 0.000 0.500
Li 0.500 0.000 0.000

Question: Which of these has the lowest formation energy (no corrections)?
Answer: Li2SiB2O6

Question: The lowest formation energy (no corrections) belongs to which entry?
Answer: Li2SiB2O6

Question: What is the formation energy (no corrections) in the sixth record?
Answer: -0.074 eV per atom